KV2H | PBE | relaxed

Unit cell a=5.999 b=5.999 c=5.994 alpha=59.97 beta=59.97 gamma=90.00
Positions (direct):
K1 0.750 0.250 0.500
K2 0.000 0.000 0.000
V1 0.375 0.625 0.250
V2 0.375 0.625 0.750
V3 0.875 0.625 0.750
V4 0.375 0.125 0.250
H1 0.250 0.750 0.500
H2 0.500 0.500 0.000

Total energy: -37.98 eV for the cell shown
Offset from the most stable computed form: 0 meV per atom

=====

K2VH6 | PBE | relaxed

Unit cell a=5.845 b=5.845 c=5.845 alpha=60.00 beta=60.00 gamma=60.00
Positions (direct):
H1 0.788 0.788 0.212
H2 0.212 0.788 0.212
H3 0.212 0.788 0.788
H4 0.212 0.212 0.788
H5 0.788 0.212 0.788
H6 0.788 0.212 0.212
V1 0.000 0.000 0.000
K1 0.250 0.250 0.250
K2 0.750 0.750 0.750

Total energy: -30.58 eV for the cell shown

=====

K2VH2 | PBE | relaxed

Unit cell a=4.897 b=4.897 c=6.345 alpha=67.30 beta=67.30 gamma=90.00
Positions (direct):
K1 0.666 0.666 0.668
K2 0.334 0.334 0.332
H1 0.250 0.750 0.500
H2 0.750 0.250 0.500
V1 0.000 0.000 0.000

Total energy: -13.64 eV for the cell shown
Offset from the most stable computed form: 74 meV per atom